# 1
# Zr3NbP, relaxed, DFT PBE
data_Zr3NbP
_chemical_formula_sum 'Zr3 Nb1 P1'
_space_group_name_H-M_alt 'P 1'
_space_group_IT_number 1
_cell_length_a 5.054
_cell_length_b 5.054
_cell_length_c 5.054
_cell_angle_alpha 90.00
_cell_angle_beta 90.00
_cell_angle_gamma 90.00
loop_
_space_group_symop_operation_xyz
'x,y,z'
loop_
_atom_site_label
_atom_site_type_symbol
_atom_site_fract_x
_atom_site_fract_y
_atom_site_fract_z
Zr1 Zr 0.000 0.500 0.000
Zr2 Zr 0.000 0.000 0.500
Nb1 Nb 0.000 0.000 0.000
P1 P 0.500 0.500 0.500
Zr3 Zr 0.500 0.000 0.000
# magnetization: 1.39 μB per formula unit
# DFT formation energy: 1.009 eV/atom
# total energy: -7.2154 eV per atom
# ΔE to the lowest computed polymorph: 527 kJ/mol of formula units

=====

# 2
# Pa3Nb, relaxed, DFT PBE
data_Pa3Nb
_chemical_formula_sum 'Pa3 Nb1'
_space_group_name_H-M_alt 'P 1'
_space_group_IT_number 1
_cell_length_a 3.150
_cell_length_b 5.427
_cell_length_c 5.429
_cell_angle_alpha 90.00
_cell_angle_beta 90.00
_cell_angle_gamma 90.00
loop_
_space_group_symop_operation_xyz
'x,y,z'
loop_
_atom_site_label
_atom_site_type_symbol
_atom_site_fract_x
_atom_site_fract_y
_atom_site_fract_z
Pa1 Pa 0.500 0.500 0.917
Nb1 Nb 0.000 0.500 0.417
Pa2 Pa 0.500 0.000 0.417
Pa3 Pa 0.000 0.000 0.917
# magnetization: 0.00 μB per formula unit
# DFT formation energy: 0.125 eV/atom
# total energy: -9.5146 eV per atom
# ΔE to the lowest computed polymorph: 1 kJ/mol of formula units

=====

# 3
# Pa3Nb, relaxed, DFT PBE
data_Pa3Nb
_chemical_formula_sum 'Pa6 Nb2'
_space_group_name_H-M_alt 'P 1'
_space_group_IT_number 1
_cell_length_a 6.238
_cell_length_b 6.238
_cell_length_c 5.593
_cell_angle_alpha 90.00
_cell_angle_beta 90.00
_cell_angle_gamma 120.00
loop_
_space_group_symop_operation_xyz
'x,y,z'
loop_
_atom_site_label
_atom_site_type_symbol
_atom_site_fract_x
_atom_site_fract_y
_atom_site_fract_z
Nb1 Nb 0.667 0.333 0.250
Pa1 Pa 0.827 0.173 0.750
Pa2 Pa 0.654 0.827 0.250
Pa3 Pa 0.346 0.173 0.750
Pa4 Pa 0.173 0.346 0.250
Pa5 Pa 0.173 0.827 0.250
Nb2 Nb 0.333 0.667 0.750
Pa6 Pa 0.827 0.654 0.750
# magnetization: 0.00 μB per formula unit
# DFT formation energy: 0.163 eV/atom
# total energy: -9.4767 eV per atom
# ΔE to the lowest computed polymorph: 16 kJ/mol of formula units

=====

# 4
# Pa3Nb, relaxed, DFT PBE
data_Pa3Nb
_chemical_formula_sum 'Pa3 Nb1'
_space_group_name_H-M_alt 'P 1'
_space_group_IT_number 1
_cell_length_a 3.051
_cell_length_b 5.784
_cell_length_c 6.180
_cell_angle_alpha 117.90
_cell_angle_beta 104.29
_cell_angle_gamma 90.00
loop_
_space_group_symop_operation_xyz
'x,y,z'
loop_
_atom_site_label
_atom_site_type_symbol
_atom_site_fract_x
_atom_site_fract_y
_atom_site_fract_z
Pa1 Pa 0.500 0.541 0.000
Pa2 Pa 0.262 0.547 0.524
Nb1 Nb 0.000 0.057 0.000
Pa3 Pa 0.738 0.022 0.476
# magnetization: 0.00 μB per formula unit
# DFT formation energy: 0.122 eV/atom
# total energy: -9.5179 eV per atom
# ΔE to the lowest computed polymorph: 0 kJ/mol of formula units

=====

# 5
# Pa3Nb, relaxed, DFT PBE
data_Pa3Nb
_chemical_formula_sum 'Pa3 Nb1'
_space_group_name_H-M_alt 'P 1'
_space_group_IT_number 1
_cell_length_a 4.570
_cell_length_b 4.570
_cell_length_c 4.570
_cell_angle_alpha 90.00
_cell_angle_beta 90.00
_cell_angle_gamma 90.00
loop_
_space_group_symop_operation_xyz
'x,y,z'
loop_
_atom_site_label
_atom_site_type_symbol
_atom_site_fract_x
_atom_site_fract_y
_atom_site_fract_z
Pa1 Pa 0.500 0.000 0.500
Pa2 Pa 0.000 0.500 0.500
Nb1 Nb 0.000 0.000 0.000
Pa3 Pa 0.500 0.500 0.000
# magnetization: 0.00 μB per formula unit
# DFT formation energy: 0.224 eV/atom
# total energy: -9.4154 eV per atom
# ΔE to the lowest computed polymorph: 40 kJ/mol of formula units

=====

# 6
# Pa4Nb, relaxed, DFT PBE
data_Pa4Nb
_chemical_formula_sum 'Pa4 Nb1'
_space_group_name_H-M_alt 'P 1'
_space_group_IT_number 1
_cell_length_a 5.269
_cell_length_b 5.269
_cell_length_c 5.269
_cell_angle_alpha 90.00
_cell_angle_beta 90.00
_cell_angle_gamma 90.00
loop_
_space_group_symop_operation_xyz
'x,y,z'
loop_
_atom_site_label
_atom_site_type_symbol
_atom_site_fract_x
_atom_site_fract_y
_atom_site_fract_z
Pa1 Pa 0.500 0.500 0.000
Pa2 Pa 0.000 0.000 0.000
Nb1 Nb 0.500 0.500 0.500
Pa3 Pa 0.000 0.500 0.500
Pa4 Pa 0.500 0.000 0.500
# magnetization: 0.00 μB per formula unit
# DFT formation energy: 0.943 eV/atom
# total energy: -8.6682 eV per atom

=====

# 7
# Pa8Nb, relaxed, DFT PBE
data_Pa8Nb
_chemical_formula_sum 'Pa8 Nb1'
_space_group_name_H-M_alt 'P 1'
_space_group_IT_number 1
_cell_length_a 4.512
_cell_length_b 7.343
_cell_length_c 7.343
_cell_angle_alpha 84.58
_cell_angle_beta 72.11
_cell_angle_gamma 72.11
loop_
_space_group_symop_operation_xyz
'x,y,z'
loop_
_atom_site_label
_atom_site_type_symbol
_atom_site_fract_x
_atom_site_fract_y
_atom_site_fract_z
Pa1 Pa 0.670 0.330 0.330
Pa2 Pa 0.330 0.670 0.670
Pa3 Pa 0.336 0.000 0.327
Pa4 Pa 0.000 0.670 0.330
Pa5 Pa 0.000 0.330 0.670
Nb1 Nb 0.000 0.000 0.000
Pa6 Pa 0.664 0.000 0.673
Pa7 Pa 0.664 0.673 0.000
Pa8 Pa 0.336 0.327 0.000
# magnetization: 0.00 μB per formula unit
# DFT formation energy: 0.087 eV/atom
# total energy: -9.4724 eV per atom

=====

# 8
# Pa3Nb, relaxed, DFT PBE
data_Pa3Nb
_chemical_formula_sum 'Pa3 Nb1'
_space_group_name_H-M_alt 'P 1'
_space_group_IT_number 1
_cell_length_a 5.077
_cell_length_b 5.077
_cell_length_c 5.077
_cell_angle_alpha 60.00
_cell_angle_beta 60.00
_cell_angle_gamma 60.00
loop_
_space_group_symop_operation_xyz
'x,y,z'
loop_
_atom_site_label
_atom_site_type_symbol
_atom_site_fract_x
_atom_site_fract_y
_atom_site_fract_z
Nb1 Nb 0.500 0.500 0.500
Pa1 Pa 0.750 0.750 0.750
Pa2 Pa 0.000 0.000 0.000
Pa3 Pa 0.250 0.250 0.250
# magnetization: 0.00 μB per formula unit
# DFT formation energy: 0.214 eV/atom
# total energy: -9.4250 eV per atom
# ΔE to the lowest computed polymorph: 36 kJ/mol of formula units

=====

# 9
# Pa3Nb, relaxed, DFT PBE
data_Pa3Nb
_chemical_formula_sum 'Pa3 Nb1'
_space_group_name_H-M_alt 'P 1'
_space_group_IT_number 1
_cell_length_a 3.992
_cell_length_b 3.992
_cell_length_c 6.577
_cell_angle_alpha 107.67
_cell_angle_beta 107.67
_cell_angle_gamma 90.00
loop_
_space_group_symop_operation_xyz
'x,y,z'
loop_
_atom_site_label
_atom_site_type_symbol
_atom_site_fract_x
_atom_site_fract_y
_atom_site_fract_z
Pa1 Pa 0.500 0.500 0.000
Pa2 Pa 0.737 0.737 0.474
Nb1 Nb 0.000 0.000 0.000
Pa3 Pa 0.263 0.263 0.526
# magnetization: 0.00 μB per formula unit
# DFT formation energy: 0.800 eV/atom
# total energy: -8.8392 eV per atom
# ΔE to the lowest computed polymorph: 262 kJ/mol of formula units

=====

# 10
# PaNb2Pb, relaxed, DFT PBE
data_PaNb2Pb
_chemical_formula_sum 'Pa1 Nb2 Pb1'
_space_group_name_H-M_alt 'P 1'
_space_group_IT_number 1
_cell_length_a 3.747
_cell_length_b 4.766
_cell_length_c 4.766
_cell_angle_alpha 90.00
_cell_angle_beta 90.00
_cell_angle_gamma 90.00
loop_
_space_group_symop_operation_xyz
'x,y,z'
loop_
_atom_site_label
_atom_site_type_symbol
_atom_site_fract_x
_atom_site_fract_y
_atom_site_fract_z
Nb1 Nb 0.000 0.000 0.500
Pb1 Pb 0.500 0.000 0.000
Nb2 Nb 0.000 0.500 0.000
Pa1 Pa 0.500 0.500 0.500
# magnetization: 0.00 μB per formula unit
# DFT formation energy: 0.117 eV/atom
# total energy: -8.2188 eV per atom

=====

# 11
# Pa2NbPb, relaxed, DFT PBE
data_Pa2NbPb
_chemical_formula_sum 'Pa2 Nb1 Pb1'
_space_group_name_H-M_alt 'P 1'
_space_group_IT_number 1
_cell_length_a 5.213
_cell_length_b 5.213
_cell_length_c 5.213
_cell_angle_alpha 60.00
_cell_angle_beta 60.00
_cell_angle_gamma 60.00
loop_
_space_group_symop_operation_xyz
'x,y,z'
loop_
_atom_site_label
_atom_site_type_symbol
_atom_site_fract_x
_atom_site_fract_y
_atom_site_fract_z
Nb1 Nb 0.000 0.000 0.000
Pb1 Pb 0.500 0.500 0.500
Pa1 Pa 0.250 0.250 0.250
Pa2 Pa 0.750 0.750 0.750
# magnetization: 0.00 μB per formula unit
# DFT formation energy: 0.370 eV/atom
# total energy: -7.8228 eV per atom
# ΔE to the lowest computed polymorph: 103 kJ/mol of formula units

=====

# 12
# PaNbPb2, relaxed, DFT PBE
data_PaNbPb2
_chemical_formula_sum 'Pa1 Nb1 Pb2'
_space_group_name_H-M_alt 'P 1'
_space_group_IT_number 1
_cell_length_a 3.201
_cell_length_b 3.201
_cell_length_c 11.788
_cell_angle_alpha 82.20
_cell_angle_beta 82.20
_cell_angle_gamma 60.00
loop_
_space_group_symop_operation_xyz
'x,y,z'
loop_
_atom_site_label
_atom_site_type_symbol
_atom_site_fract_x
_atom_site_fract_y
_atom_site_fract_z
Pb1 Pb 0.084 0.084 0.748
Pa1 Pa 0.500 0.500 0.500
Nb1 Nb 0.000 0.000 0.000
Pb2 Pb 0.916 0.916 0.252
# magnetization: 0.11 μB per formula unit
# DFT formation energy: 0.492 eV/atom
# total energy: -6.2534 eV per atom

=====

# 13
# Pa2NbPb, relaxed, DFT PBE
data_Pa2NbPb
_chemical_formula_sum 'Pa2 Nb1 Pb1'
_space_group_name_H-M_alt 'P 1'
_space_group_IT_number 1
_cell_length_a 3.936
_cell_length_b 3.936
_cell_length_c 6.401
_cell_angle_alpha 90.00
_cell_angle_beta 90.00
_cell_angle_gamma 90.00
loop_
_space_group_symop_operation_xyz
'x,y,z'
loop_
_atom_site_label
_atom_site_type_symbol
_atom_site_fract_x
_atom_site_fract_y
_atom_site_fract_z
Pa1 Pa 0.000 0.000 0.759
Pb1 Pb 0.500 0.500 0.500
Nb1 Nb 0.500 0.500 0.000
Pa2 Pa 0.000 0.000 0.241
# magnetization: 0.00 μB per formula unit
# DFT formation energy: 0.227 eV/atom
# total energy: -7.9659 eV per atom
# ΔE to the lowest computed polymorph: 48 kJ/mol of formula units

=====

# 14
# Pa2NbPb, relaxed, DFT PBE
data_Pa2NbPb
_chemical_formula_sum 'Pa2 Nb1 Pb1'
_space_group_name_H-M_alt 'P 1'
_space_group_IT_number 1
_cell_length_a 4.787
_cell_length_b 4.425
_cell_length_c 4.425
_cell_angle_alpha 90.00
_cell_angle_beta 90.00
_cell_angle_gamma 90.00
loop_
_space_group_symop_operation_xyz
'x,y,z'
loop_
_atom_site_label
_atom_site_type_symbol
_atom_site_fract_x
_atom_site_fract_y
_atom_site_fract_z
Nb1 Nb 0.500 0.000 0.000
Pa1 Pa 0.000 0.500 0.000
Pa2 Pa 0.000 0.000 0.500
Pb1 Pb 0.500 0.500 0.500
# magnetization: 0.00 μB per formula unit
# DFT formation energy: 0.103 eV/atom
# total energy: -8.0894 eV per atom
# ΔE to the lowest computed polymorph: 0 kJ/mol of formula units

=====

# 15
# Pa2NbPb, relaxed, DFT PBE
data_Pa2NbPb
_chemical_formula_sum 'Pa2 Nb1 Pb1'
_space_group_name_H-M_alt 'P 1'
_space_group_IT_number 1
_cell_length_a 3.990
_cell_length_b 3.990
_cell_length_c 8.272
_cell_angle_alpha 76.04
_cell_angle_beta 76.04
_cell_angle_gamma 60.00
loop_
_space_group_symop_operation_xyz
'x,y,z'
loop_
_atom_site_label
_atom_site_type_symbol
_atom_site_fract_x
_atom_site_fract_y
_atom_site_fract_z
Pa1 Pa 0.267 0.267 0.198
Nb1 Nb 0.000 0.000 0.000
Pb1 Pb 0.500 0.500 0.500
Pa2 Pa 0.733 0.733 0.802
# magnetization: 0.00 μB per formula unit
# DFT formation energy: 0.575 eV/atom
# total energy: -7.6175 eV per atom
# ΔE to the lowest computed polymorph: 182 kJ/mol of formula units

=====

# 16
# PaNb2Pd, relaxed, DFT PBE
data_PaNb2Pd
_chemical_formula_sum 'Pa1 Nb2 Pd1'
_space_group_name_H-M_alt 'P 1'
_space_group_IT_number 1
_cell_length_a 3.470
_cell_length_b 3.470
_cell_length_c 6.305
_cell_angle_alpha 90.00
_cell_angle_beta 90.00
_cell_angle_gamma 90.00
loop_
_space_group_symop_operation_xyz
'x,y,z'
loop_
_atom_site_label
_atom_site_type_symbol
_atom_site_fract_x
_atom_site_fract_y
_atom_site_fract_z
Nb1 Nb 0.000 0.000 0.252
Pd1 Pd 0.500 0.500 0.000
Pa1 Pa 0.500 0.500 0.500
Nb2 Nb 0.000 0.000 0.748
# magnetization: 0.00 μB per formula unit
# DFT formation energy: 0.012 eV/atom
# total energy: -8.6952 eV per atom
# ΔE to the lowest computed polymorph: 6 kJ/mol of formula units

=====

# 17
# PaNb2Pd, relaxed, DFT PBE
data_PaNb2Pd
_chemical_formula_sum 'Pa1 Nb2 Pd1'
_space_group_name_H-M_alt 'P 1'
_space_group_IT_number 1
_cell_length_a 3.336
_cell_length_b 4.774
_cell_length_c 4.774
_cell_angle_alpha 90.00
_cell_angle_beta 90.00
_cell_angle_gamma 90.00
loop_
_space_group_symop_operation_xyz
'x,y,z'
loop_
_atom_site_label
_atom_site_type_symbol
_atom_site_fract_x
_atom_site_fract_y
_atom_site_fract_z
Nb1 Nb 0.000 0.000 0.500
Pd1 Pd 0.500 0.000 0.000
Nb2 Nb 0.000 0.500 0.000
Pa1 Pa 0.500 0.500 0.500
# magnetization: 0.00 μB per formula unit
# DFT formation energy: -0.004 eV/atom
# total energy: -8.7113 eV per atom
# ΔE to the lowest computed polymorph: 0 kJ/mol of formula units

=====

# 18
# PaNbPd2, relaxed, DFT PBE
data_PaNbPd2
_chemical_formula_sum 'Pa1 Nb1 Pd2'
_space_group_name_H-M_alt 'P 1'
_space_group_IT_number 1
_cell_length_a 2.953
_cell_length_b 2.953
_cell_length_c 9.958
_cell_angle_alpha 81.47
_cell_angle_beta 81.47
_cell_angle_gamma 60.00
loop_
_space_group_symop_operation_xyz
'x,y,z'
loop_
_atom_site_label
_atom_site_type_symbol
_atom_site_fract_x
_atom_site_fract_y
_atom_site_fract_z
Pd1 Pd 0.744 0.744 0.768
Nb1 Nb 0.000 0.000 0.000
Pd2 Pd 0.256 0.256 0.232
Pa1 Pa 0.500 0.500 0.500
# magnetization: 0.00 μB per formula unit
# DFT formation energy: -0.130 eV/atom
# total energy: -7.6177 eV per atom
# ΔE to the lowest computed polymorph: 93 kJ/mol of formula units

=====

# 19
# PaNbPd, relaxed, DFT PBE
data_PaNbPd
_chemical_formula_sum 'Pa1 Nb1 Pd1'
_space_group_name_H-M_alt 'P 1'
_space_group_IT_number 1
_cell_length_a 3.727
_cell_length_b 3.727
_cell_length_c 5.058
_cell_angle_alpha 111.62
_cell_angle_beta 111.62
_cell_angle_gamma 90.00
loop_
_space_group_symop_operation_xyz
'x,y,z'
loop_
_atom_site_label
_atom_site_type_symbol
_atom_site_fract_x
_atom_site_fract_y
_atom_site_fract_z
Pa1 Pa 0.344 0.344 0.687
Pd1 Pd 0.007 0.007 0.014
Nb1 Nb 0.649 0.649 0.299
# magnetization: 0.00 μB per formula unit
# DFT formation energy: -0.094 eV/atom
# total energy: -8.3469 eV per atom
# ΔE to the lowest computed polymorph: 26 kJ/mol of formula units

=====

# 20
# PaNbPd, relaxed, DFT PBE
data_PaNbPd
_chemical_formula_sum 'Pa2 Nb2 Pd2'
_space_group_name_H-M_alt 'P 1'
_space_group_IT_number 1
_cell_length_a 3.253
_cell_length_b 6.996
_cell_length_c 6.106
_cell_angle_alpha 88.49
_cell_angle_beta 57.86
_cell_angle_gamma 90.01
loop_
_space_group_symop_operation_xyz
'x,y,z'
loop_
_atom_site_label
_atom_site_type_symbol
_atom_site_fract_x
_atom_site_fract_y
_atom_site_fract_z
Pa1 Pa 0.149 0.324 0.602
Pa2 Pa 0.851 0.676 0.398
Pd1 Pd 0.177 0.340 0.073
Nb1 Nb 0.487 0.961 0.763
Pd2 Pd 0.823 0.660 0.927
Nb2 Nb 0.513 0.039 0.237
# magnetization: 0.00 μB per formula unit
# DFT formation energy: -0.184 eV/atom
# total energy: -8.4366 eV per atom
# ΔE to the lowest computed polymorph: 0 kJ/mol of formula units